Crystalline Na8GeSe6 at its relaxed geometry. Source: Alexandria via LeMat-Bulk, functional PBE-GGA.

Summary:
Uncorrected formation energy, eV/atom: -0.897

Lattice parameters (Å, degrees): 8.427 8.498 11.649 90.00 90.00 90.00
Space group Pmn2_1 (No. 31)
Symmetry-distinct sites (fractional):
Na 0.000 0.136 0.000 x2
Na 0.000 0.228 0.465 x2
Na 0.175 0.598 0.123 x4
Na 0.192 0.601 0.817 x4
Na 0.243 0.034 0.258 x4
Ge 0.000 0.731 0.476 x2
Se 0.000 0.284 0.226 x2
Se 0.000 0.506 0.605 x2
Se 0.000 0.791 0.963 x2
Se 0.000 0.956 0.597 x2
Se 0.235 0.725 0.361 x4

Crystalline Sm8Te4PSe3 at its relaxed geometry. Source: Alexandria via LeMat-Bulk, functional PBE-GGA.

Summary:
Uncorrected formation energy, eV/atom: -1.620
D(E_F), states/eV/cell: 14.3

Lattice parameters (Å, degrees): 8.5379 8.5379 21.4775 90.00 90.00 120.00
Space group R-3m (No. 166, hexagonal axes)
Symmetry-distinct sites (fractional):
Sm 0.0000 0.0000 0.2396 x6
Sm 0.0138 0.5069 0.2379 x18
Te 0.0000 0.0000 0.0000 x3
Te 0.0000 0.5000 0.0000 x9
P 0.0000 0.0000 0.5000 x3
Se 0.0000 0.5000 0.5000 x9

Crystalline BeTlCr2 at its relaxed geometry. Source: Alexandria via LeMat-Bulk, functional PBE-GGA.

Summary:
Energy above the lowest structure with this stoichiometry, eV per formula unit: 0.70
D(E_F), states/eV/cell: 2.9
Formation energy, meV per atom: 598

Lattice parameters (Å, degrees): 8.032 3.361 4.605 90.00 110.39 90.00
Space group C2/m (No. 12)
Symmetry-distinct sites (fractional):
Be 0.000 0.000 0.000 x2
Tl 0.000 0.500 0.500 x2
Cr 0.216 0.500 0.129 x4

Crystalline PH2Rh2 at its relaxed geometry. Source: Alexandria via LeMat-Bulk, functional PBE-GGA.

Summary:
Total energy, eV per atom: -5.476
D(E_F), states/eV/cell: 4.5

Lattice parameters (Å, degrees): 3.003 3.003 10.446 90.00 90.00 90.00
Space group I4/mmm (No. 139)
Symmetry-distinct sites (fractional):
P 0.000 0.000 0.000 x2
H 0.000 0.500 0.250 x4
Rh 0.000 0.000 0.365 x4

Crystalline Na2CaSnI6 at its relaxed geometry. Source: Alexandria via LeMat-Bulk, functional PBE-GGA.

Summary:
Uncorrected formation energy, eV/atom: -1.115
D(E_F), states/eV/cell: 0.0

Lattice parameters (Å, degrees): 8.0526 8.0526 21.8424 90.00 90.00 120.00
Space group R3 (No. 146, hexagonal axes)
Symmetry-distinct sites (fractional):
Na 0.0000 0.0000 0.0000 x3
Na 0.0000 0.0000 0.4991 x3
Ca 0.0000 0.0000 0.8098 x3
Sn 0.0000 0.0000 0.3097 x3
I 0.0068 0.3119 0.9011 x9
I 0.0110 0.6918 0.4022 x9

Crystalline Na2ScIO4 at its relaxed geometry. Source: Alexandria via LeMat-Bulk, functional PBE-GGA.

Summary:
Uncorrected formation energy, eV/atom: -1.666
D(E_F), states/eV/cell: 0.0

Lattice parameters (Å, degrees): 6.131 6.131 6.404 90.00 90.00 90.00
Space group I-4 (No. 82)
Symmetry-distinct sites (fractional):
Na 0.000 0.000 0.000 x2
Na 0.000 0.500 0.250 x2
Sc 0.000 0.500 0.750 x2
I 0.000 0.000 0.500 x2
O 0.159 0.311 0.541 x8

Crystalline Cs2BrO at its relaxed geometry. Source: Alexandria via LeMat-Bulk, functional PBE-GGA.

Summary:
Uncorrected formation energy, eV/atom: -1.006
D(E_F), states/eV/cell: 163.6

Lattice parameters (Å, degrees): 8.322 8.322 8.322 90.00 90.00 90.00
Space group Fm-3m (No. 225)
Symmetry-distinct sites (fractional):
Cs 0.250 0.250 0.250 x8
Br 0.000 0.000 0.000 x4
O 0.000 0.000 0.500 x4

Crystalline BeSbOs at its relaxed geometry. Source: Alexandria via LeMat-Bulk, functional PBE-GGA.

Summary:
Energy above the lowest structure with this stoichiometry, eV per formula unit: 0.31
Uncorrected formation energy, eV/atom: 0.388
D(E_F), states/eV/cell: 7.1

Lattice parameters (Å, degrees): 5.968 5.968 5.968 90.00 90.00 90.00
Space group F-43m (No. 216)
Symmetry-distinct sites (fractional):
Be 0.000 0.000 0.000 x4
Sb 0.000 0.000 0.500 x4
Os 0.250 0.250 0.250 x4

> What is the formula in the first record?

Na8GeSe6